# 1
This record from Alexandria describes PmPuInO6 after structural relaxation. The functional is PBE.

a b c (Å): 5.5591 5.5591 10.1508
angles (deg): 90.00 90.00 120.00
Last column: magnetic moment on the atom in μB.
Fractional coordinates of all 18 atoms:
Pm: 0.0000 0.0000 0.0000  -0.01
Pm: 0.0000 0.0000 0.5000  -0.01
Pu: 0.6667 0.3333 0.2500  2.48
Pu: 0.3333 0.6667 0.7500  2.48
In: 0.3333 0.6667 0.2500  0.01
In: 0.6667 0.3333 0.7500  0.01
O: 0.6585 0.6417 0.1366  -0.07
O: 0.9832 0.3415 0.1366  -0.07
O: 0.3415 0.9832 0.6366  -0.07
O: 0.0168 0.6585 0.8634  -0.07
O: 0.3583 0.3415 0.3634  -0.07
O: 0.9832 0.6417 0.3634  -0.07
O: 0.6417 0.9832 0.8634  -0.07
O: 0.6585 0.0168 0.3634  -0.07
O: 0.0168 0.3583 0.6366  -0.07
O: 0.3583 0.0168 0.1366  -0.07
O: 0.6417 0.6585 0.6366  -0.07
O: 0.3415 0.3583 0.8634  -0.07

SG = P-31c, No. 163
formation energy without anion corrections = -22.2 eV per formula unit
DOS(E_F) = 0.916 states/eV/atom

***

# 2
This record from Alexandria describes Rb3Pm2InO6 after structural relaxation. The functional is PBE.

a b c (Å): 6.1621 6.1621 6.8925
angles (deg): 98.54 98.54 120.01
Fractional coordinates of all 12 atoms:
Rb: 0.1637 0.8363 0.5000
Rb: 0.8363 0.1637 0.5000
Rb: 0.5000 0.5000 0.5000
Pm: 0.3333 0.6667 0.0000
Pm: 0.6667 0.3333 0.0000
In: 0.0000 0.0000 0.0000
O: 0.9401 0.6178 0.8201
O: 0.7374 0.7374 0.1798
O: 0.0599 0.3822 0.1799
O: 0.6178 0.9401 0.8201
O: 0.2626 0.2626 0.8202
O: 0.3822 0.0599 0.1799

SG = C2/m, No. 12
formation energy without anion corrections = -26.2 eV per formula unit
DOS(E_F) = 0.000 states/eV/atom

***

# 3
This record from Alexandria describes RbPm2InO5 after structural relaxation. The functional is PBE.

a b c (Å): 6.8588 6.8588 7.8030
angles (deg): 116.07 116.07 90.00
Fractional coordinates of all 18 atoms:
Rb: 0.2500 0.2500 0.5000
Rb: 0.7500 0.7500 0.5000
Pm: 0.1798 0.3202 0.0000
Pm: 0.6798 0.1798 0.0000
Pm: 0.3202 0.8202 0.0000
Pm: 0.8202 0.6798 0.0000
In: 0.2500 0.7500 0.5000
In: 0.7500 0.2500 0.5000
O: 0.9820 0.4820 0.2455
O: 0.7365 0.2365 0.7545
O: 0.0180 0.5180 0.7545
O: 0.2365 0.0180 0.7545
O: 0.5180 0.7365 0.7545
O: 0.7635 0.9820 0.2455
O: 0.4820 0.2635 0.2455
O: 0.2635 0.7635 0.2455
O: 0.5000 0.5000 0.0000
O: 0.0000 0.0000 0.0000

SG = I4/mcm, No. 140
formation energy without anion corrections = -21.9 eV per formula unit
DOS(E_F) = 0.000 states/eV/atom

***

# 4
This record from Alexandria describes PmIn2ReO8 after structural relaxation. The functional is PBE.

a b c (Å): 4.9821 4.9773 6.7050
angles (deg): 90.00 90.00 90.35
Fractional coordinates of all 12 atoms:
Pm: 0.0000 0.0000 0.5000
In: 0.5000 0.5000 0.7512
In: 0.5000 0.5000 0.2488
Re: 0.0000 0.0000 0.0000
O: 0.1842 0.8146 0.2021
O: 0.7196 0.7206 0.0000
O: 0.8158 0.1854 0.2021
O: 0.8158 0.1854 0.7979
O: 0.2804 0.2794 0.0000
O: 0.1842 0.8146 0.7979
O: 0.6840 0.6861 0.5000
O: 0.3160 0.3139 0.5000

SG = P2/m, No. 10
formation energy without anion corrections = -22.5 eV per formula unit

***

# 5
This record from Alexandria describes PmIn2RuO8 after structural relaxation. The functional is PBE.

a b c (Å): 4.9644 4.9545 6.7091
angles (deg): 90.00 90.00 90.48
Last column: magnetic moment on the atom in μB.
Fractional coordinates of all 12 atoms:
Pm: 0.0000 0.0000 0.5000  0.01
In: 0.5000 0.5000 0.7560  0.01
In: 0.5000 0.5000 0.2440  0.01
Ru: 0.0000 0.0000 0.0000  0.80
O: 0.1859 0.8121 0.2052  0.09
O: 0.7161 0.7178 0.0000  -0.04
O: 0.8141 0.1879 0.2052  0.09
O: 0.8141 0.1879 0.7948  0.09
O: 0.2839 0.2822 0.0000  -0.04
O: 0.1859 0.8121 0.7948  0.09
O: 0.6812 0.6840 0.5000  0.07
O: 0.3188 0.3160 0.5000  0.07

SG = P2/m, No. 10
formation energy without anion corrections = -17.9 eV per formula unit
DOS(E_F) = 0.463 states/eV/atom

***

# 6
This record from Alexandria describes PmInRuO6 after structural relaxation. The functional is PBE.

a b c (Å): 5.4229 5.4229 9.8912
angles (deg): 90.00 90.00 120.00
Last column: magnetic moment on the atom in μB.
Fractional coordinates of all 18 atoms:
Pm: 0.0000 0.0000 0.0000  0.03
Pm: 0.0000 0.0000 0.5000  0.03
In: 0.3333 0.6667 0.2500  0.03
In: 0.6667 0.3333 0.7500  0.03
Ru: 0.6667 0.3333 0.2500  1.30
Ru: 0.3333 0.6667 0.7500  1.30
O: 0.6578 0.6248 0.1386  0.07
O: 0.9669 0.3422 0.1386  0.07
O: 0.3422 0.9669 0.6386  0.07
O: 0.0331 0.6578 0.8614  0.07
O: 0.3752 0.3422 0.3614  0.07
O: 0.9669 0.6248 0.3614  0.07
O: 0.6248 0.9669 0.8614  0.07
O: 0.6578 0.0331 0.3614  0.07
O: 0.0331 0.3752 0.6386  0.07
O: 0.3752 0.0331 0.1386  0.07
O: 0.6248 0.6578 0.6386  0.07
O: 0.3422 0.3752 0.8614  0.07

SG = P-31c, No. 163
formation energy without anion corrections = -15.1 eV per formula unit
DOS(E_F) = 0.458 states/eV/atom

***

# 7
This record from Alexandria describes Pm2InS2O2 after structural relaxation. The functional is PBE.

a b c (Å): 3.7189 6.9252 6.6599
angles (deg): 64.66 73.79 74.42
Fractional coordinates of all 7 atoms:
Pm: 0.1684 0.4030 0.2602
Pm: 0.8316 0.5970 0.7398
In: 0.0000 0.0000 0.0000
S: 0.5352 0.2529 0.6766
S: 0.4648 0.7471 0.3234
O: 0.2132 0.6762 0.8974
O: 0.7868 0.3238 0.1026

SG = C2/m, No. 12
formation energy without anion corrections = -14.7 eV per formula unit
DOS(E_F) = 0.227 states/eV/atom

***

# 8
This record from Alexandria describes PmInSO2 after structural relaxation. The functional is PBE.

a b c (Å): 4.1534 6.9733 7.6819
angles (deg): 119.68 90.00 90.00
Fractional coordinates of all 10 atoms:
Pm: 0.2500 0.6865 0.9511
Pm: 0.7500 0.3135 0.0489
In: 0.2500 0.6664 0.4613
In: 0.7500 0.3336 0.5387
S: 0.2500 0.0067 0.7840
S: 0.7500 0.9933 0.2160
O: 0.7500 0.5472 0.4008
O: 0.2500 0.4528 0.5992
O: 0.7500 0.4938 0.8617
O: 0.2500 0.5062 0.1383

SG = P2_1/m, No. 11
formation energy without anion corrections = -10.6 eV per formula unit
DOS(E_F) = 0.000 states/eV/atom

***

# 9
This record from Alexandria describes PmInSb2O8 after structural relaxation. The functional is PBE.

a b c (Å): 5.2500 5.2500 6.7690
angles (deg): 112.82 112.82 90.00
Fractional coordinates of all 12 atoms:
Pm: 0.7500 0.2500 0.5000
In: 0.0000 0.0000 0.0000
Sb: 0.5000 0.5000 0.0000
Sb: 0.2500 0.7500 0.5000
O: 0.7784 0.8410 0.1709
O: 0.3924 0.3299 0.1709
O: 0.5910 0.6584 0.6824
O: 0.0914 0.0240 0.6824
O: 0.9760 0.4090 0.3176
O: 0.3416 0.9086 0.3176
O: 0.1590 0.6076 0.8291
O: 0.6701 0.2216 0.8291

SG = I-4, No. 82
formation energy without anion corrections = -21.7 eV per formula unit

***

# 10
This record from Alexandria describes Pm2ScInO6 after structural relaxation. The functional is PBE.

a b c (Å): 5.6122 5.8904 8.1664
angles (deg): 90.00 89.84 90.00
Fractional coordinates of all 20 atoms:
Pm: 0.0193 0.9398 0.2516
Pm: 0.5193 0.5602 0.7516
Pm: 0.9807 0.0602 0.7484
Pm: 0.4807 0.4398 0.2484
Sc: 0.5000 0.0000 0.5000
Sc: 0.0000 0.5000 0.0000
In: 0.5000 0.0000 0.0000
In: 0.0000 0.5000 0.5000
O: 0.3016 0.6915 0.0625
O: 0.8016 0.8085 0.5625
O: 0.6984 0.3085 0.9375
O: 0.1984 0.1915 0.4375
O: 0.3102 0.7016 0.4323
O: 0.8102 0.7984 0.9323
O: 0.6898 0.2984 0.5677
O: 0.1898 0.2016 0.0677
O: 0.8759 0.5524 0.2449
O: 0.3759 0.9476 0.7449
O: 0.1241 0.4476 0.7551
O: 0.6241 0.0524 0.2551

SG = P2_1/c, No. 14
formation energy without anion corrections = -29.9 eV per formula unit
DOS(E_F) = 0.000 states/eV/atom

***

# 11
This record from Alexandria describes PmScIn2O6 after structural relaxation. The functional is PBE.

a b c (Å): 5.6422 5.6423 5.9364
angles (deg): 61.63 61.63 60.00
Fractional coordinates of all 10 atoms:
Pm: 0.8001 0.8002 0.5995
Sc: 0.3132 0.3132 0.0605
In: 0.5257 0.5256 0.4230
In: 0.0192 0.0192 0.9424
O: 0.6085 0.2262 0.2405
O: 0.2262 0.9248 0.2405
O: 0.9248 0.6085 0.2405
O: 0.3879 0.7097 0.7561
O: 0.7097 0.1463 0.7561
O: 0.1463 0.3879 0.7561

SG = R3, No. 146
formation energy without anion corrections = -24.7 eV per formula unit
DOS(E_F) = 0.000 states/eV/atom

***

# 12
This record from Alexandria describes PmInSe2O after structural relaxation. The functional is PBE.

a b c (Å): 4.0783 4.0783 13.6085
angles (deg): 90.00 90.00 90.00
Fractional coordinates of all 10 atoms:
Pm: 0.5000 0.0000 0.5855
Pm: 0.0000 0.5000 0.4145
In: 0.5000 0.0000 0.1126
In: 0.0000 0.5000 0.8874
Se: 0.0000 0.5000 0.7001
Se: 0.0000 0.5000 0.0862
Se: 0.5000 0.0000 0.9138
Se: 0.5000 0.0000 0.2999
O: 0.0000 0.0000 0.5000
O: 0.5000 0.5000 0.5000

SG = P4/nmm, No. 129
formation energy without anion corrections = -8.7 eV per formula unit

***

# 13
This record from Alexandria describes PmInSeO2 after structural relaxation. The functional is PBE.

a b c (Å): 4.1901 6.9882 7.6717
angles (deg): 117.13 90.00 90.00
Fractional coordinates of all 10 atoms:
Pm: 0.2500 0.6808 0.9438
Pm: 0.7500 0.3192 0.0562
In: 0.2500 0.6613 0.4511
In: 0.7500 0.3387 0.5489
Se: 0.2500 0.0154 0.7693
Se: 0.7500 0.9846 0.2307
O: 0.7500 0.5427 0.3974
O: 0.2500 0.4573 0.6026
O: 0.7500 0.5034 0.8664
O: 0.2500 0.4966 0.1336

SG = P2_1/m, No. 11
formation energy without anion corrections = -10.4 eV per formula unit
DOS(E_F) = 0.000 states/eV/atom

***

# 14
This record from Alexandria describes Pm12SmIn4O3 after structural relaxation. The functional is PBE.

a b c (Å): 8.8252 8.8252 8.8252
angles (deg): 109.47 109.47 109.47
Last column: magnetic moment on the atom in μB.
Fractional coordinates of all 20 atoms:
Pm: 0.2500 0.5000 0.7500  0.00
Pm: 0.7269 0.0000 0.7269  0.04
Pm: 0.2731 0.0000 0.2731  0.04
Pm: 0.7500 0.5000 0.2500  0.00
Pm: 0.7269 0.7269 0.0000  0.04
Pm: 0.2731 0.2731 0.0000  0.04
Pm: 0.7500 0.2500 0.5000  0.00
Pm: 0.2500 0.7500 0.5000  0.00
Pm: 0.5000 0.2500 0.7500  0.00
Pm: 0.0000 0.7269 0.7269  0.04
Pm: 0.5000 0.7500 0.2500  0.00
Pm: 0.0000 0.2731 0.2731  0.04
Sm: 0.0000 0.0000 0.0000  0.24
In: 0.5000 0.5000 0.5000  0.00
In: 0.0000 0.0000 0.5000  0.00
In: 0.5000 0.0000 0.0000  0.00
In: 0.0000 0.5000 0.0000  0.00
O: 0.5000 0.0000 0.5000  0.00
O: 0.5000 0.5000 0.0000  0.00
O: 0.0000 0.5000 0.5000  0.00

SG = Im-3m, No. 229
formation energy without anion corrections = -15.9 eV per formula unit
DOS(E_F) = 0.915 states/eV/atom

***

# 15
This record from Alexandria describes PmIn2SnO6 after structural relaxation. The functional is PBE.

a b c (Å): 5.7343 5.7355 6.0488
angles (deg): 61.72 61.73 59.99
Fractional coordinates of all 10 atoms:
Pm: 0.8016 0.8017 0.5951
In: 0.5294 0.5292 0.4122
In: 0.0196 0.0195 0.9413
Sn: 0.3140 0.3140 0.0579
O: 0.6100 0.2193 0.2407
O: 0.2193 0.9299 0.2404
O: 0.9301 0.6103 0.2406
O: 0.3936 0.7054 0.7621
O: 0.7054 0.1388 0.7622
O: 0.1385 0.3934 0.7627

SG = R3, No. 146
formation energy without anion corrections = -19.0 eV per formula unit
DOS(E_F) = 0.169 states/eV/atom

***

# 16
This record from Alexandria describes TbPm2InO after structural relaxation. The functional is PBE.

a b c (Å): 4.7936 4.9503 4.9503
angles (deg): 90.00 90.00 90.00
Fractional coordinates of all 5 atoms:
Tb: 0.5000 0.0000 0.0000
Pm: 0.0000 0.0000 0.5000
Pm: 0.0000 0.5000 0.0000
In: 0.5000 0.5000 0.5000
O: 0.0000 0.0000 0.0000

SG = P4/mmm, No. 123
formation energy without anion corrections = -7.1 eV per formula unit
DOS(E_F) = 0.301 states/eV/atom

***

# 17
This record from Alexandria describes Tb2PmInO after structural relaxation. The functional is PBE.

a b c (Å): 4.9507 4.8059 4.8059
angles (deg): 90.00 90.00 90.00
Fractional coordinates of all 5 atoms:
Tb: 0.0000 0.0000 0.5000
Tb: 0.0000 0.5000 0.0000
Pm: 0.5000 0.0000 0.0000
In: 0.5000 0.5000 0.5000
O: 0.0000 0.0000 0.0000

SG = P4/mmm, No. 123
formation energy without anion corrections = -7.1 eV per formula unit
DOS(E_F) = 0.286 states/eV/atom

***

# 18
This record from Alexandria describes PmInTc2O8 after structural relaxation. The functional is PBE.

a b c (Å): 5.2123 5.2123 6.7417
angles (deg): 112.74 112.74 90.00
Last column: magnetic moment on the atom in μB.
Fractional coordinates of all 12 atoms:
Pm: 0.7500 0.2500 0.5000  0.05
In: 0.0000 0.0000 0.0000  0.03
Tc: 0.5000 0.5000 0.0000  0.95
Tc: 0.2500 0.7500 0.5000  1.26
O: 0.7604 0.8336 0.1669  0.06
O: 0.4064 0.3332 0.1669  0.06
O: 0.5899 0.6718 0.6767  0.08
O: 0.0868 0.0049 0.6767  0.08
O: 0.9951 0.4101 0.3233  0.08
O: 0.3282 0.9132 0.3233  0.08
O: 0.1664 0.5936 0.8331  0.06
O: 0.6668 0.2396 0.8331  0.06

SG = I-4, No. 82
formation energy without anion corrections = -20.9 eV per formula unit
DOS(E_F) = 0.393 states/eV/atom

***

# 19
This record from Alexandria describes PmInTcO6 after structural relaxation. The functional is PBE.

a b c (Å): 5.4253 5.4253 9.9095
angles (deg): 90.00 90.00 120.00
Last column: magnetic moment on the atom in μB.
Fractional coordinates of all 18 atoms:
Pm: 0.0000 0.0000 0.0000  0.02
Pm: 0.0000 0.0000 0.5000  0.02
In: 0.3333 0.6667 0.2500  0.03
In: 0.6667 0.3333 0.7500  0.03
Tc: 0.6667 0.3333 0.2500  0.79
Tc: 0.3333 0.6667 0.7500  0.79
O: 0.6590 0.6246 0.1391  0.01
O: 0.9656 0.3410 0.1391  0.01
O: 0.3410 0.9656 0.6391  0.01
O: 0.0344 0.6590 0.8609  0.01
O: 0.3754 0.3410 0.3609  0.01
O: 0.9656 0.6246 0.3609  0.01
O: 0.6246 0.9656 0.8609  0.01
O: 0.6590 0.0344 0.3609  0.01
O: 0.0344 0.3754 0.6391  0.01
O: 0.3754 0.0344 0.1391  0.01
O: 0.6246 0.6590 0.6391  0.01
O: 0.3410 0.3754 0.8609  0.01

SG = P-31c, No. 163
formation energy without anion corrections = -17.2 eV per formula unit
DOS(E_F) = 0.350 states/eV/atom

***

# 20
This record from Alexandria describes PmInTeO6 after structural relaxation. The functional is PBE.

a b c (Å): 5.4413 5.4413 9.9868
angles (deg): 90.00 90.00 120.00
Fractional coordinates of all 18 atoms:
Pm: 0.0000 0.0000 0.0000
Pm: 0.0000 0.0000 0.5000
In: 0.3333 0.6667 0.2500
In: 0.6667 0.3333 0.7500
Te: 0.6667 0.3333 0.2500
Te: 0.3333 0.6667 0.7500
O: 0.6574 0.6250 0.1387
O: 0.9676 0.3426 0.1387
O: 0.3426 0.9676 0.6387
O: 0.0324 0.6574 0.8613
O: 0.3750 0.3426 0.3613
O: 0.9676 0.6250 0.3613
O: 0.6250 0.9676 0.8613
O: 0.6574 0.0324 0.3613
O: 0.0324 0.3750 0.6387
O: 0.3750 0.0324 0.1387
O: 0.6250 0.6574 0.6387
O: 0.3426 0.3750 0.8613

SG = P-31c, No. 163
formation energy without anion corrections = -17.2 eV per formula unit
DOS(E_F) = 0.000 states/eV/atom